[1]
PaGa | GGA-PBE | optimized geometry

## Properties
energy above the most stable polymorph in this dataset = 420 meV/atom

Lattice parameters (Å, degrees): 4.1547 4.1547 4.1547 60.00 60.00 60.00
With the nearest neighbours (Å) after each atom.
Atoms (fractional coordinates):
Pa  0.0000  0.0000  0.0000  6 Ga 2.94
Ga  0.5000  0.5000  0.5000  6 Pa 2.94

=====

[2]
Pa4Ga3 | GGA-PBE | optimized geometry

Lattice parameters (Å, degrees): 11.8915 11.8915 11.8915 20.14 20.14 20.14
With the nearest neighbours (Å) after each atom.
Atoms (fractional coordinates):
Pa  0.1196  0.1196  0.1196  6 Ga 2.91-2.97
Pa  0.3125  0.3125  0.3125  3 Pa 2.81, 3 Ga 2.94
Pa  0.6875  0.6875  0.6875  3 Pa 2.81, 3 Ga 2.94
Pa  0.8804  0.8804  0.8804  6 Ga 2.91-2.97
Ga  0.4028  0.4028  0.4028  7 Pa 2.94-3.15
Ga  0.5000  0.5000  0.5000  6 Pa 2.91
Ga  0.5972  0.5972  0.5972  7 Pa 2.94-3.15

=====

[3]
PaGa5 | GGA-PBE | optimized geometry

## Properties
energy above the most stable polymorph in this dataset = 125 meV/atom

Lattice parameters (Å, degrees): 5.6091 5.6091 4.2348 90.00 90.00 120.00
With the nearest neighbours (Å) after each atom.
Atoms (fractional coordinates):
Pa  0.0000  0.0000  0.0000  12 Ga 3.06-3.24
Ga  0.0000  0.6051  0.5000  8 Ga 2.73-2.98
Ga  0.3333  0.6667  0.0000  6 Ga 2.73
Ga  0.3949  0.3949  0.5000  8 Ga 2.73-2.98
Ga  0.6051  0.0000  0.5000  8 Ga 2.73-2.98
Ga  0.6667  0.3333  0.0000  6 Ga 2.73

=====

[4]
PaGa3 | GGA-PBE | optimized geometry

## Properties
energy above the most stable polymorph in this dataset = 6 meV/atom

Lattice parameters (Å, degrees): 6.2875 6.2875 4.5304 90.00 90.00 120.00
With the nearest neighbours (Å) after each atom.
Atoms (fractional coordinates):
Pa  0.3333  0.6667  0.2500  12 Ga 3.03-3.15
Pa  0.6667  0.3333  0.7500  12 Ga 3.03-3.15
Ga  0.1490  0.2980  0.7500  6 Ga 2.79-2.81, 2 Pa 3.03
Ga  0.1490  0.8510  0.7500  6 Ga 2.79-2.81, 2 Pa 3.03
Ga  0.2980  0.1490  0.2500  6 Ga 2.79-2.81, 2 Pa 3.03
Ga  0.7020  0.8510  0.7500  6 Ga 2.79-2.81, 2 Pa 3.03
Ga  0.8510  0.1490  0.2500  6 Ga 2.79-2.81, 2 Pa 3.03
Ga  0.8510  0.7020  0.2500  6 Ga 2.79-2.81, 2 Pa 3.03

=====

[5]
PaGa4 | GGA-PBE | optimized geometry

## Properties
energy above the most stable polymorph in this dataset = 1278 meV/atom

Lattice parameters (Å, degrees): 5.5647 5.5647 5.5647 90.00 90.00 90.00
With the nearest neighbours (Å) after each atom.
Atoms (fractional coordinates):
Pa  0.0000  0.0000  0.0000  6 Ga 2.78
Ga  0.0000  0.0000  0.5000  2 Pa 2.78
Ga  0.0000  0.5000  0.0000  2 Pa 2.78
Ga  0.5000  0.0000  0.0000  2 Pa 2.78
Ga  0.5000  0.5000  0.5000  12 Ga 3.93

=====

[6]
PaGa3 | GGA-PBE | optimized geometry

## Properties
energy above the most stable polymorph in this dataset = 0 meV/atom

Lattice parameters (Å, degrees): 4.3006 4.3006 4.3006 90.00 90.00 90.00
With the nearest neighbours (Å) after each atom.
Atoms (fractional coordinates):
Pa  0.0000  0.0000  0.0000  12 Ga 3.04
Ga  0.0000  0.5000  0.5000  4 Pa 3.04, 8 Ga 3.04
Ga  0.5000  0.0000  0.5000  4 Pa 3.04, 8 Ga 3.04
Ga  0.5000  0.5000  0.0000  4 Pa 3.04, 8 Ga 3.04

=====

In order of appearance, VASP energy = -12.217 -45.802 -25.020 -40.067 -16.709 -20.058 eV/cell.